[1]
## LiYCuSi (PBE)

Data for crystalline LiYCuSi at its relaxed geometry.

Cell lengths 6.425, 6.425, 6.425 Å; angles 90.00, 90.00, 90.00 degrees
Space group F-43m (No. 216)
Unique sites:
Li 0.000 0.000 0.000 x4
Y 0.250 0.250 0.250 x4
Cu 0.250 0.250 0.750 x4
Si 0.000 0.000 0.500 x4

## Properties
E: -4.604 eV/atom
Distance to the lowest polymorph of the same formula: 83 meV/atom
Size of the total moment: 0.00 μB per atom


[2]
## LiYCuSi (PBE)

Data for crystalline LiYCuSi at its relaxed geometry.

Cell lengths 6.334, 6.334, 6.334 Å; angles 90.00, 90.00, 90.00 degrees
Space group F-43m (No. 216)
Unique sites:
Li 0.000 0.000 0.000 x4
Y 0.250 0.250 0.750 x4
Cu 0.000 0.000 0.500 x4
Si 0.250 0.250 0.250 x4

## Properties
E: -4.688 eV/atom
Distance to the lowest polymorph of the same formula: 0 meV/atom
Size of the total moment: 0.00 μB per atom


[3]
## Li4ZnCu2Si (PBE)

Data for crystalline Li4ZnCu2Si at its relaxed geometry.

Cell lengths 4.177, 4.177, 5.871 Å; angles 90.00, 90.00, 90.00 degrees
Space group P-4m2 (No. 115)
Unique sites:
Li 0.000 0.000 0.000 x1
Li 0.000 0.500 0.248 x2
Li 0.500 0.500 0.500 x1
Zn 0.000 0.000 0.500 x1
Cu 0.000 0.500 0.769 x2
Si 0.500 0.500 0.000 x1

## Properties
E: -2.932 eV/atom